Entry 1:
! MgSnTe2N, optimized geometry, DFT GGA-PBE; values from VASP
! Energy relative to the elements, uncorrected, eV/atom: 0.45
! Energy above the lowest structure with this stoichiometry, eV/f.u.: 0.000
! SG: No. 123
&SYSTEM
  ibrav = 0, nat = 5, ntyp = 4
/
ATOMIC_SPECIES
Te 127.60 Te.upf
N 14.01 N.upf
Mg 24.30 Mg.upf
Sn 118.71 Sn.upf
ATOMIC_POSITIONS angstrom
Te 2.8999 0.0000 0.0000
N 0.0000 0.0000 1.9668
Te 0.0000 2.8999 0.0000
Mg 0.0000 0.0000 0.0000
Sn 2.8999 2.8999 1.9668
CELL_PARAMETERS angstrom
5.7998 0.0000 0.0000
0.0000 5.7998 0.0000
0.0000 0.0000 3.9335


Entry 2:
! MgSnTe2N, optimized geometry, DFT GGA-PBE; values from VASP
! Energy relative to the elements, uncorrected, eV/atom: 1.30
! Energy above the lowest structure with this stoichiometry, eV/f.u.: 4.213
! SG: No. 123
&SYSTEM
  ibrav = 0, nat = 5, ntyp = 4
/
ATOMIC_SPECIES
N 14.01 N.upf
Mg 24.30 Mg.upf
Te 127.60 Te.upf
Sn 118.71 Sn.upf
ATOMIC_POSITIONS angstrom
N 2.9267 2.7296 2.9267
Mg 0.0000 2.7296 0.0000
Te 2.9267 0.0000 0.0000
Te 0.0000 0.0000 2.9267
Sn 0.0000 0.0000 0.0000
CELL_PARAMETERS angstrom
5.8534 0.0000 0.0000
0.0000 5.4593 0.0000
0.0000 0.0000 5.8534


Entry 3:
! Th2MgSnN5, optimized geometry, DFT GGA-PBE; values from VASP
! Energy relative to the elements, uncorrected, eV/atom: -0.79
! SG: No. 36
&SYSTEM
  ibrav = 0, nat = 18, ntyp = 4
/
ATOMIC_SPECIES
N 14.01 N.upf
Th 232.04 Th.upf
Sn 118.71 Sn.upf
Mg 24.30 Mg.upf
ATOMIC_POSITIONS angstrom
N -2.3031 5.2820 0.4199
N -4.2064 7.8248 5.5097
N -3.3786 0.0222 3.8280
N -2.3406 6.7695 3.2962
N -0.5416 0.6621 0.6764
N -5.0928 5.8276 3.6310
N -1.2588 2.9012 -0.9898
Th -4.2675 8.1460 2.9175
Th -0.8125 7.0325 1.5908
N -2.6757 8.8382 1.1811
Sn -4.0873 4.7542 5.0819
Sn -1.2152 10.0441 -0.3578
Th -1.1826 2.9559 1.6212
Th -4.7206 1.9940 2.8438
N -3.2114 1.7819 1.1146
Mg -3.7204 5.1934 2.0164
Mg -1.9665 -0.0189 2.2250
N -2.7212 3.5956 3.4244
CELL_PARAMETERS angstrom
-2.6607 0.2241 -2.3496
-3.2315 -0.1885 6.3333
0.4083 10.2217 0.5126


Entry 4:
! Mg3TiSn3N8, optimized geometry, DFT GGA-PBE; values from VASP
! Energy relative to the elements, uncorrected, eV/atom: -0.16
! SG: No. 166
&SYSTEM
  ibrav = 0, nat = 15, ntyp = 4
/
ATOMIC_SPECIES
N 14.01 N.upf
Sn 118.71 Sn.upf
Mg 24.30 Mg.upf
Ti 47.87 Ti.upf
ATOMIC_POSITIONS angstrom
N -1.2882 0.2437 3.5131
Sn -2.2194 1.3373 1.8043
N -2.3233 3.2034 2.9871
N -0.0795 1.7968 1.3658
Mg 0.0000 0.0000 0.0000
N -3.3927 -2.3130 2.8186
Mg -2.8832 0.5954 -1.1924
Sn -1.3119 -1.6584 2.3449
N -4.3593 0.8779 2.2429
N -3.1506 2.4309 0.0955
Mg -1.9757 -2.4003 -0.6519
N -2.1155 -0.5287 0.6216
Ti 0.6638 0.7419 2.9967
N -1.0461 4.9877 0.7900
Sn -0.2437 3.7377 2.4562
CELL_PARAMETERS angstrom
-1.8151 5.9915 -1.0811
-3.9514 -4.8007 -1.3037
1.3276 1.4839 5.9935


Entry 5:
! Mg2TiSnN4, optimized geometry, DFT GGA-PBE; values from VASP
! Energy relative to the elements, uncorrected, eV/atom: -0.79
! SG: No. 31
&SYSTEM
  ibrav = 0, nat = 16, ntyp = 4
/
ATOMIC_SPECIES
Mg 24.30 Mg.upf
Ti 47.87 Ti.upf
N 14.01 N.upf
Sn 118.71 Sn.upf
ATOMIC_POSITIONS angstrom
Mg 5.3294 3.9544 1.6883
Ti 2.6700 4.9350 3.3786
N 2.0876 4.0047 1.7603
Sn 2.6638 4.9787 0.0000
N 2.0806 0.8497 3.3786
Mg 2.6454 1.9762 5.0668
N 4.5911 4.9448 3.3786
N 4.7716 1.9259 1.6183
Sn 5.3478 0.9518 3.3786
Mg 2.6454 1.9762 1.6903
Ti 5.3540 0.9955 0.0000
Mg 5.3294 3.9544 5.0689
N 4.7716 1.9259 5.1389
N 2.0876 4.0047 4.9969
N 4.7646 5.0809 0.0000
N 1.9071 0.9858 0.0000
CELL_PARAMETERS angstrom
5.3680 0.0000 0.0000
0.0000 5.9306 0.0000
0.0000 0.0000 6.7572


Entry 6:
! Mg2SnWN4, optimized geometry, DFT GGA-PBE; values from VASP
! Energy relative to the elements, uncorrected, eV/atom: -0.45
! SG: No. 42
&SYSTEM
  ibrav = 0, nat = 8, ntyp = 4
/
ATOMIC_SPECIES
N 14.01 N.upf
Sn 118.71 Sn.upf
Mg 24.30 Mg.upf
W 183.84 W.upf
ATOMIC_POSITIONS angstrom
N -1.0636 -1.1558 3.3570
Sn 0.0000 0.0000 0.2045
N 1.0636 1.1558 3.3570
Mg 2.5594 -0.0270 2.2592
W 0.0000 0.0000 4.4734
N 1.2240 3.5302 1.0736
N 3.4165 1.5126 1.0736
Mg -0.2392 2.5484 2.2592
CELL_PARAMETERS angstrom
5.1189 -0.0539 0.0000
-0.4784 5.0968 0.0000
-2.3203 -2.5214 4.5137


Entry 7:
! YMg2SnN, optimized geometry, DFT GGA-PBE; values from VASP
! Energy relative to the elements, uncorrected, eV/atom: -0.77
! SG: No. 123
&SYSTEM
  ibrav = 0, nat = 5, ntyp = 4
/
ATOMIC_SPECIES
Mg 24.30 Mg.upf
Sn 118.71 Sn.upf
Y 88.91 Y.upf
N 14.01 N.upf
ATOMIC_POSITIONS angstrom
Mg 2.2176 0.0000 0.0000
Sn 2.2176 2.2176 2.3912
Y 0.0000 0.0000 2.3912
Mg 0.0000 2.2176 0.0000
N 0.0000 0.0000 0.0000
CELL_PARAMETERS angstrom
4.4353 0.0000 0.0000
0.0000 4.4353 0.0000
0.0000 0.0000 4.7825


Entry 8:
! Y2MgSnN, optimized geometry, DFT GGA-PBE; values from VASP
! Energy relative to the elements, uncorrected, eV/atom: -0.94
! SG: No. 123
&SYSTEM
  ibrav = 0, nat = 5, ntyp = 4
/
ATOMIC_SPECIES
Y 88.91 Y.upf
Sn 118.71 Sn.upf
N 14.01 N.upf
Mg 24.30 Mg.upf
ATOMIC_POSITIONS angstrom
Y 2.4178 0.0000 0.0000
Sn 2.4178 2.4178 2.2064
N 0.0000 0.0000 0.0000
Mg 0.0000 0.0000 2.2064
Y 0.0000 2.4178 0.0000
CELL_PARAMETERS angstrom
4.8355 0.0000 0.0000
0.0000 4.8355 0.0000
0.0000 0.0000 4.4127


Entry 9:
! Sr2MgN2, optimized geometry, DFT GGA-PBE; values from VASP
! Energy relative to the elements, uncorrected, eV/atom: 0.29
! SG: No. 139
&SYSTEM
  ibrav = 0, nat = 5, ntyp = 3
/
ATOMIC_SPECIES
N 14.01 N.upf
Sr 87.62 Sr.upf
Mg 24.30 Mg.upf
ATOMIC_POSITIONS angstrom
N -2.2645 -2.3081 -4.9084
Sr -1.9872 -4.7387 -5.4405
Sr -1.0695 -2.4072 -2.7107
Mg 0.0000 0.0000 0.0000
N -0.7923 -4.8378 -3.2428
CELL_PARAMETERS angstrom
-1.0157 0.8842 -4.5681
1.9287 -4.1750 -1.2370
-3.9698 -3.8551 -2.3461


Entry 10:
! SrMg3N, optimized geometry, DFT GGA-PBE; values from VASP
! Energy relative to the elements, uncorrected, eV/atom: 0.11
! Energy above the lowest structure with this stoichiometry, eV/f.u.: 0.000
! SG: No. 221
&SYSTEM
  ibrav = 0, nat = 5, ntyp = 3
/
ATOMIC_SPECIES
Mg 24.30 Mg.upf
N 14.01 N.upf
Sr 87.62 Sr.upf
ATOMIC_POSITIONS angstrom
Mg 0.0000 0.0000 2.3726
N 0.0000 0.0000 0.0000
Mg 0.0000 2.3726 0.0000
Mg 2.3726 0.0000 0.0000
Sr 2.3726 2.3726 2.3726
CELL_PARAMETERS angstrom
4.7452 0.0000 0.0000
0.0000 4.7452 0.0000
0.0000 0.0000 4.7452


Entry 11:
! Sr2MgN, optimized geometry, DFT GGA-PBE; values from VASP
! Energy relative to the elements, uncorrected, eV/atom: -0.10
! Energy above the lowest structure with this stoichiometry, eV/f.u.: 0.716
! SG: No. 122
&SYSTEM
  ibrav = 0, nat = 8, ntyp = 3
/
ATOMIC_SPECIES
Mg 24.30 Mg.upf
Sr 87.62 Sr.upf
N 14.01 N.upf
ATOMIC_POSITIONS angstrom
Mg 0.1563 -5.9899 -6.6508
Mg 0.0000 0.0000 0.0000
Sr 1.5730 -8.3257 -4.2693
Sr 2.8616 -5.5751 -2.0101
Sr 2.5005 -10.6902 -7.8501
N 2.1862 -3.6961 -3.4259
Sr -0.0463 -3.2275 -4.3136
N 3.2881 -7.9194 -2.5708
CELL_PARAMETERS angstrom
-0.9455 -1.7666 -7.5060
5.3179 -5.6256 0.6541
-0.9280 -6.5171 -2.3697


Entry 12:
! Sr3MgN, optimized geometry, DFT GGA-PBE; values from VASP
! Energy relative to the elements, uncorrected, eV/atom: -0.29
! Energy above the lowest structure with this stoichiometry, eV/f.u.: 0.000
! SG: No. 221
&SYSTEM
  ibrav = 0, nat = 5, ntyp = 3
/
ATOMIC_SPECIES
Mg 24.30 Mg.upf
Sr 87.62 Sr.upf
N 14.01 N.upf
ATOMIC_POSITIONS angstrom
Mg 2.6872 2.6872 2.6872
Sr 2.6872 0.0000 0.0000
Sr 0.0000 2.6872 0.0000
Sr 0.0000 0.0000 2.6872
N 0.0000 0.0000 0.0000
CELL_PARAMETERS angstrom
5.3745 0.0000 0.0000
0.0000 5.3745 0.0000
0.0000 0.0000 5.3745


Entry 13:
! Sr2MgN, optimized geometry, DFT GGA-PBE; values from VASP
! Energy relative to the elements, uncorrected, eV/atom: -0.28
! Energy above the lowest structure with this stoichiometry, eV/f.u.: 0.000
! SG: No. 166
&SYSTEM
  ibrav = 0, nat = 4, ntyp = 3
/
ATOMIC_SPECIES
Sr 87.62 Sr.upf
N 14.01 N.upf
Mg 24.30 Mg.upf
ATOMIC_POSITIONS angstrom
Sr -6.4769 0.7944 1.7319
N -6.3541 1.7140 -0.6688
Mg 0.0000 0.0000 0.0000
Sr -6.2312 2.6336 -3.0695
CELL_PARAMETERS angstrom
-1.1971 3.0513 -1.8192
-1.9754 -0.3596 -3.1656
-9.5357 0.7363 3.6472


Entry 14:
! Sr2MgN2, optimized geometry, DFT GGA-PBE; values from VASP
! Energy relative to the elements, uncorrected, eV/atom: -0.54
! SG: No. 72
&SYSTEM
  ibrav = 0, nat = 10, ntyp = 3
/
ATOMIC_SPECIES
N 14.01 N.upf
Sr 87.62 Sr.upf
Mg 24.30 Mg.upf
ATOMIC_POSITIONS angstrom
N 1.1590 3.1203 2.6955
Sr 3.3863 3.6578 0.8083
Sr 0.3691 1.4991 0.8584
N 4.2264 0.8048 2.7620
Sr 0.4931 5.1714 1.1468
N -0.4710 4.3521 -1.0953
Mg 3.2633 2.6878 -3.0113
N 2.5964 2.0366 -1.0288
Sr 3.2623 -0.0145 0.5200
Mg 0.6987 2.6878 -1.9086
CELL_PARAMETERS angstrom
5.1292 0.0000 -2.2055
-1.1672 5.3756 -2.7145
-0.2066 -0.2187 6.5867


Entry 15:
! Sr2MgN, optimized geometry, DFT GGA-PBE; values from VASP
! Energy relative to the elements, uncorrected, eV/atom: 0.53
! Energy above the lowest structure with this stoichiometry, eV/f.u.: 3.252
! SG: No. 225
&SYSTEM
  ibrav = 0, nat = 4, ntyp = 3
/
ATOMIC_SPECIES
Sr 87.62 Sr.upf
Mg 24.30 Mg.upf
N 14.01 N.upf
ATOMIC_POSITIONS angstrom
Sr -2.7181 1.7674 -0.2987
Mg -5.4361 3.5348 -0.5974
N 0.0000 0.0000 0.0000
Sr -8.1542 5.3023 -0.8961
CELL_PARAMETERS angstrom
-4.9673 0.0378 -1.8956
-3.8406 2.5401 2.6583
-2.0643 4.4918 -1.9574


Entry 16:
! SrMgN, optimized geometry, DFT GGA-PBE; values from VASP
! Energy relative to the elements, uncorrected, eV/atom: -0.60
! SG: No. 63
&SYSTEM
  ibrav = 0, nat = 6, ntyp = 3
/
ATOMIC_SPECIES
Mg 24.30 Mg.upf
Sr 87.62 Sr.upf
N 14.01 N.upf
ATOMIC_POSITIONS angstrom
Mg -4.3982 1.5897 1.4052
Sr -3.2235 -1.8663 1.3998
N -4.2480 1.6460 3.6245
Sr -6.2778 3.1339 3.3626
Mg -5.1004 -0.3185 3.3569
N -5.2515 -0.3760 1.1377
CELL_PARAMETERS angstrom
-1.8999 1.2020 -2.7726
-2.4609 -3.3085 0.2519
-4.6617 4.0181 7.2341


Entry 17:
! Sr4MgN, optimized geometry, DFT GGA-PBE; values from VASP
! Energy relative to the elements, uncorrected, eV/atom: -0.16
! SG: No. 12
&SYSTEM
  ibrav = 0, nat = 12, ntyp = 3
/
ATOMIC_SPECIES
Mg 24.30 Mg.upf
Sr 87.62 Sr.upf
N 14.01 N.upf
ATOMIC_POSITIONS angstrom
Mg 0.0000 4.8513 0.9662
Sr 2.6760 6.8180 6.5267
Sr 2.6760 4.2671 3.4548
N 2.6760 7.0305 3.9133
Sr 0.0000 0.5996 3.7467
Sr 0.0000 3.1504 6.8186
Mg 2.6760 2.5662 9.3072
Sr 0.0000 6.8923 3.9112
Sr 0.0000 0.1686 8.8850
Sr 2.6760 7.2490 1.3884
Sr 2.6760 0.5252 6.3621
N 0.0000 0.3871 6.3600
CELL_PARAMETERS angstrom
5.3520 0.0000 0.0000
-2.6760 9.0525 0.6373
0.0000 -1.6350 9.6361


Entry 18:
! Sr2MgN2, optimized geometry, DFT GGA-PBE; values from VASP
! Energy relative to the elements, uncorrected, eV/atom: -0.50
! SG: No. 139
&SYSTEM
  ibrav = 0, nat = 5, ntyp = 3
/
ATOMIC_SPECIES
Sr 87.62 Sr.upf
N 14.01 N.upf
Mg 24.30 Mg.upf
ATOMIC_POSITIONS angstrom
Sr 1.9308 1.9308 2.2674
N 1.9310 1.9310 4.8917
N -0.0003 -0.0003 1.9812
Mg 0.0000 0.0000 0.0000
Sr -0.0001 -0.0001 4.6055
CELL_PARAMETERS angstrom
3.8617 0.0002 -0.0002
0.0002 3.8617 -0.0002
-1.9312 -1.9312 6.8732


Entry 19:
! SrMg3N, optimized geometry, DFT GGA-PBE; values from VASP
! Energy relative to the elements, uncorrected, eV/atom: 2.13
! Energy above the lowest structure with this stoichiometry, eV/f.u.: 10.114
! SG: No. 221
&SYSTEM
  ibrav = 0, nat = 5, ntyp = 3
/
ATOMIC_SPECIES
Mg 24.30 Mg.upf
Sr 87.62 Sr.upf
N 14.01 N.upf
ATOMIC_POSITIONS angstrom
Mg 0.0000 3.2962 0.0000
Sr 0.0000 0.0000 0.0000
Mg 0.0000 0.0000 3.2962
N 3.2962 3.2962 3.2962
Mg 3.2962 0.0000 0.0000
CELL_PARAMETERS angstrom
6.5925 0.0000 0.0000
0.0000 6.5925 0.0000
0.0000 0.0000 6.5925


Entry 20:
! SrMg5N4, optimized geometry, DFT GGA-PBE; values from VASP
! Energy relative to the elements, uncorrected, eV/atom: -0.50
! SG: No. 59
&SYSTEM
  ibrav = 0, nat = 20, ntyp = 3
/
ATOMIC_SPECIES
Mg 24.30 Mg.upf
Sr 87.62 Sr.upf
N 14.01 N.upf
ATOMIC_POSITIONS angstrom
Mg -4.3499 -5.2864 1.0227
Sr -4.1750 0.4846 1.4290
Mg -1.9806 -1.6444 0.6036
Mg -3.8739 -2.4982 3.0353
Sr -2.2822 -4.3851 -1.2003
N -6.1662 -2.4882 3.2646
N -6.7343 0.5918 1.8935
N -6.4899 -2.4098 -0.4202
N -3.2282 -3.4021 1.0169
Mg -6.6459 -4.5722 2.7792
N -6.3666 -5.3599 0.9405
Mg -5.9975 -3.4770 5.2166
Mg -2.5833 -1.4024 -2.8065
N 0.0327 -1.4908 0.6489
Mg -1.8501 -4.7670 2.0438
Mg -4.4765 -2.2561 -0.3749
Mg -6.7725 -1.5420 1.3816
N -3.2289 -0.4985 -0.7882
N 0.1666 -4.6935 2.1260
Mg -6.1280 -0.3544 3.7765
CELL_PARAMETERS angstrom
-3.3641 -1.8262 -3.6548
0.2572 -6.1528 2.8378
-6.4434 2.0042 4.9293


Entry 21:
! Sr2MgN2, optimized geometry, DFT GGA-PBE; values from VASP
! Energy relative to the elements, uncorrected, eV/atom: 0.36
! SG: No. 127
&SYSTEM
  ibrav = 0, nat = 10, ntyp = 3
/
ATOMIC_SPECIES
N 14.01 N.upf
Sr 87.62 Sr.upf
Mg 24.30 Mg.upf
ATOMIC_POSITIONS angstrom
N -0.6993 1.0120 2.9814
N -4.2318 -0.7479 3.4186
N -1.8621 3.9449 5.3923
Sr -2.5993 0.3027 1.3529
Sr -6.1731 0.9826 3.3833
Mg -3.6031 2.4046 3.1566
Sr -4.6069 4.5064 4.9602
N -5.3946 2.1850 5.8295
Mg 0.0000 0.0000 0.0000
Sr -1.0331 3.8265 2.9298
CELL_PARAMETERS angstrom
-0.1077 6.3460 4.1440
-7.0985 -1.5369 2.1692
1.1123 -1.6121 2.4977


Entry 22:
! Sr2MgTaN4, optimized geometry, DFT GGA-PBE; values from VASP
! Energy relative to the elements, uncorrected, eV/atom: -0.85
! SG: No. 59
&SYSTEM
  ibrav = 0, nat = 16, ntyp = 4
/
ATOMIC_SPECIES
Ta 180.95 Ta.upf
N 14.01 N.upf
Sr 87.62 Sr.upf
Mg 24.30 Mg.upf
ATOMIC_POSITIONS angstrom
Ta -3.3356 4.9068 -1.7319
N -5.2544 2.7205 4.3760
Ta -5.9334 1.9126 2.6971
N -7.5932 2.8007 2.2714
N -4.7666 6.0840 3.6820
N -4.8967 1.7764 1.0122
Sr -2.9334 3.6772 4.4738
Sr -4.9575 -0.2464 5.3188
N -4.3702 5.0378 -0.0453
N -0.6005 1.3063 -0.4305
Sr -4.5845 -1.2310 1.8109
Sr -2.5523 2.6716 0.8907
Mg -5.5022 0.9390 -0.8487
N -1.6735 4.0228 -1.3070
Mg -1.6335 0.4989 3.5512
N -6.5395 0.1327 3.1322
CELL_PARAMETERS angstrom
-2.1333 5.3817 -1.7373
-5.6920 -2.2481 0.0257
-0.7541 1.9902 7.0910


Entry 23:
! SrMgTcN3, optimized geometry, DFT GGA-PBE; values from VASP
! Energy relative to the elements, uncorrected, eV/atom: -0.49
! SG: No. 11
&SYSTEM
  ibrav = 0, nat = 12, ntyp = 4
/
ATOMIC_SPECIES
Sr 87.62 Sr.upf
N 14.01 N.upf
Mg 24.30 Mg.upf
Tc 98.00 Tc.upf
ATOMIC_POSITIONS angstrom
Sr -3.1992 -4.5762 -4.7674
N -0.8915 -3.9579 -3.6751
Sr -2.2175 -2.1697 -1.1412
Mg -0.8341 0.7399 -2.5039
N -3.9509 -5.7524 -2.5501
Tc -1.0795 -2.1849 -4.6314
N -1.4658 -0.9936 -3.3585
Mg -4.5826 -7.4858 -3.4047
N -4.5251 -2.7881 -2.2334
Tc -4.3372 -4.5611 -1.2772
N -5.8612 -4.7035 -0.1173
N 0.4446 -2.0425 -5.7912
CELL_PARAMETERS angstrom
-1.8093 1.7269 -2.1654
2.9468 -2.8024 -4.6972
-6.5542 -5.6705 0.9540